# Re4MoIr PBE optimized geometry
# Calculated formation energy in meV/atom: 275
# Spin magnetization in μB per cell: 0.00
# V in A^3/atom: 15.8
data_Re4MoIr
_symmetry_space_group_name_H-M 'F -4 3 m'
_symmetry_Int_Tables_number 216
_symmetry_space_group_name_Hall 'F -4 2 3'
_cell_length_a 7.240
_cell_length_b 7.240
_cell_length_c 7.240
_cell_angle_alpha 90.00
_cell_angle_beta 90.00
_cell_angle_gamma 90.00
loop_
_atom_site_label
_atom_site_fract_x
_atom_site_fract_y
_atom_site_fract_z
Re1 0.124 0.124 0.124
Mo1 0.000 0.000 0.500
Ir1 0.250 0.250 0.750


# KHgSbCl6 PBE optimized geometry
# ΔE_f (raw) in eV/atom: -1.023
# Spin magnetization in μB per cell: 0.00
# V in A^3/atom: 32.9
data_KHgSbCl6
_symmetry_space_group_name_H-M 'P 3 1 2'
_symmetry_Int_Tables_number 149
_symmetry_space_group_name_Hall 'P 3 2'
_cell_length_a 7.0315
_cell_length_b 7.0315
_cell_length_c 6.9185
_cell_angle_alpha 90.00
_cell_angle_beta 90.00
_cell_angle_gamma 120.00
loop_
_atom_site_label
_atom_site_fract_x
_atom_site_fract_y
_atom_site_fract_z
K1 0.0000 0.0000 0.0000
Hg1 0.3333 0.6667 0.5000
Sb1 0.6667 0.3333 0.5000
Cl1 0.3711 0.0038 0.2785


# Pu2Si3Pt PBE optimized geometry
# Energy above the most stable polymorph in this dataset in eV/atom: 0.0000
# ΔE_f (raw) in eV/atom: -0.691
# Spin magnetization in μB per cell: 87.28
# V in A^3/atom: 19.8
data_Pu2Si3Pt
_symmetry_space_group_name_H-M 'F m m m'
_symmetry_Int_Tables_number 69
_symmetry_space_group_name_Hall '-F 2 2'
_cell_length_a 8.182
_cell_length_b 8.194
_cell_length_c 14.176
_cell_angle_alpha 90.00
_cell_angle_beta 90.00
_cell_angle_gamma 90.00
loop_
_atom_site_label
_atom_site_fract_x
_atom_site_fract_y
_atom_site_fract_z
Pu1 0.247 0.000 0.000
Pu2 0.250 0.250 0.250
Si1 0.000 0.000 0.164
Si2 0.000 0.247 0.082
Pt1 0.000 0.000 0.333


# HoLuMg2 PBE optimized geometry
# Energy above the most stable polymorph in this dataset in eV/atom: 0.0000
# Calculated formation energy in meV/atom: -65
# Spin magnetization in μB per cell: 0.00
# V in A^3/atom: 26.5
data_HoLuMg2
_symmetry_space_group_name_H-M 'F m -3 m'
_symmetry_Int_Tables_number 225
_symmetry_space_group_name_Hall '-F 4 2 3'
_cell_length_a 7.511
_cell_length_b 7.511
_cell_length_c 7.511
_cell_angle_alpha 90.00
_cell_angle_beta 90.00
_cell_angle_gamma 90.00
loop_
_atom_site_label
_atom_site_fract_x
_atom_site_fract_y
_atom_site_fract_z
Ho1 0.000 0.000 0.000
Lu1 0.000 0.000 0.500
Mg1 0.250 0.250 0.250


# ZrNbS4 PBE optimized geometry
# ΔE_f (raw) in eV/atom: -0.948
# Spin magnetization in μB per cell: 0.01
# V in A^3/atom: 20.3
data_ZrNbS4
_symmetry_space_group_name_H-M 'C 1 2/c 1'
_symmetry_Int_Tables_number 15
_symmetry_space_group_name_Hall '-C 2yc'
_cell_length_a 12.537
_cell_length_b 6.420
_cell_length_c 6.223
_cell_angle_alpha 90.00
_cell_angle_beta 103.33
_cell_angle_gamma 90.00
loop_
_atom_site_label
_atom_site_fract_x
_atom_site_fract_y
_atom_site_fract_z
Zr1 0.250 0.250 0.000
Nb1 0.000 0.196 0.250
S1 0.119 0.066 0.610
S2 0.134 0.451 0.234


# U3SeS2 PBE optimized geometry
# Energy above the most stable polymorph in this dataset in eV/atom: 0.0000
# ΔE_f (raw) in eV/atom: -1.235
# Spin magnetization in μB per cell: 28.54
# V in A^3/atom: 21.4
data_U3SeS2
_symmetry_space_group_name_H-M 'C 1 2/c 1'
_symmetry_Int_Tables_number 15
_symmetry_space_group_name_Hall '-C 2yc'
_cell_length_a 6.687
_cell_length_b 11.993
_cell_length_c 6.837
_cell_angle_alpha 90.00
_cell_angle_beta 110.36
_cell_angle_gamma 90.00
loop_
_atom_site_label
_atom_site_fract_x
_atom_site_fract_y
_atom_site_fract_z
U1 0.230 0.088 0.493
U2 0.250 0.250 0.000
Se1 0.000 0.424 0.750
S1 0.000 0.085 0.750
S2 0.000 0.258 0.250


# AcPtPb2 PBE optimized geometry
# Energy above the most stable polymorph in this dataset in eV/atom: 0.3905
# Calculated formation energy in meV/atom: -195
# Spin magnetization in μB per cell: 0.00
# V in A^3/atom: 27.4
data_AcPtPb2
_symmetry_space_group_name_H-M 'P 4/m m m'
_symmetry_Int_Tables_number 123
_symmetry_space_group_name_Hall '-P 4 2'
_cell_length_a 3.721
_cell_length_b 3.721
_cell_length_c 7.924
_cell_angle_alpha 90.00
_cell_angle_beta 90.00
_cell_angle_gamma 90.00
loop_
_atom_site_label
_atom_site_fract_x
_atom_site_fract_y
_atom_site_fract_z
Ac1 0.000 0.000 0.000
Pt1 0.000 0.000 0.500
Pb1 0.500 0.500 0.304


# NiRuBr2 PBE optimized geometry
# Energy above the most stable polymorph in this dataset in eV/atom: 0.5593
# ΔE_f (raw) in eV/atom: 0.732
# Spin magnetization in μB per cell: 4.23
# V in A^3/atom: 19.7
data_NiRuBr2
_symmetry_space_group_name_H-M 'I m m m'
_symmetry_Int_Tables_number 71
_symmetry_space_group_name_Hall '-I 2 2'
_cell_length_a 3.289
_cell_length_b 6.102
_cell_length_c 7.847
_cell_angle_alpha 90.00
_cell_angle_beta 90.00
_cell_angle_gamma 90.00
loop_
_atom_site_label
_atom_site_fract_x
_atom_site_fract_y
_atom_site_fract_z
Ni1 0.000 0.000 0.000
Ru1 0.000 0.000 0.500
Br1 0.000 0.500 0.273


# CaSc2As PBE optimized geometry
# Calculated formation energy in meV/atom: 186
# Spin magnetization in μB per cell: 0.00
# V in A^3/atom: 27.6
data_CaSc2As
_symmetry_space_group_name_H-M 'R -3 m'
_symmetry_Int_Tables_number 166
_symmetry_space_group_name_Hall '-R 3 2"'
_cell_length_a 3.3816
_cell_length_b 3.3816
_cell_length_c 33.4054
_cell_angle_alpha 90.00
_cell_angle_beta 90.00
_cell_angle_gamma 120.00
loop_
_atom_site_label
_atom_site_fract_x
_atom_site_fract_y
_atom_site_fract_z
Ca1 0.0000 0.0000 0.0000
Sc1 0.0000 0.0000 0.4212
As1 0.0000 0.0000 0.5000


# Zn2RuPb PBE optimized geometry
# Calculated formation energy in meV/atom: 324
# Spin magnetization in μB per cell: 0.00
# V in A^3/atom: 17.5
data_Zn2RuPb
_symmetry_space_group_name_H-M 'P 1 2/m 1'
_symmetry_Int_Tables_number 10
_symmetry_space_group_name_Hall '-P 2y'
_cell_length_a 4.615
_cell_length_b 3.272
_cell_length_c 4.846
_cell_angle_alpha 90.00
_cell_angle_beta 107.06
_cell_angle_gamma 90.00
loop_
_atom_site_label
_atom_site_fract_x
_atom_site_fract_y
_atom_site_fract_z
Zn1 0.000 0.000 0.000
Zn2 0.500 0.500 0.000
Ru1 0.000 0.500 0.500
Pb1 0.500 0.000 0.500


# Ba2CdBi6Rh PBE optimized geometry
# Calculated formation energy in meV/atom: -336
# Spin magnetization in μB per cell: 0.00
# V in A^3/atom: 36.3
data_Ba2CdBi6Rh
_symmetry_space_group_name_H-M 'R -3 m'
_symmetry_Int_Tables_number 166
_symmetry_space_group_name_Hall '-R 3 2"'
_cell_length_a 6.8607
_cell_length_b 6.8607
_cell_length_c 53.3676
_cell_angle_alpha 90.00
_cell_angle_beta 90.00
_cell_angle_gamma 120.00
loop_
_atom_site_label
_atom_site_fract_x
_atom_site_fract_y
_atom_site_fract_z
Ba1 0.0000 0.0000 0.0997
Ba2 0.0000 0.0000 0.3161
Cd1 0.0000 0.0000 0.4220
Bi1 0.0044 0.5022 0.7068
Bi2 0.0149 0.5075 0.8670
Rh1 0.0000 0.0000 0.0000
Rh2 0.0000 0.0000 0.5000


# Li5Bi2Pd4 PBE optimized geometry
# Calculated formation energy in meV/atom: -396
# Spin magnetization in μB per cell: 0.00
# V in A^3/atom: 17.4
data_Li5Bi2Pd4
_symmetry_space_group_name_H-M 'C 1 2/m 1'
_symmetry_Int_Tables_number 12
_symmetry_space_group_name_Hall '-C 2y'
_cell_length_a 10.283
_cell_length_b 5.518
_cell_length_c 8.395
_cell_angle_alpha 90.00
_cell_angle_beta 126.54
_cell_angle_gamma 90.00
loop_
_atom_site_label
_atom_site_fract_x
_atom_site_fract_y
_atom_site_fract_z
Li1 0.000 0.000 0.000
Li2 0.011 0.243 0.679
Bi1 0.206 0.500 0.268
Pd1 0.232 0.500 0.636
Pd2 0.244 0.500 0.975


# Cs2RbTlSb PBE optimized geometry
# ΔE_f (raw) in eV/atom: -0.075
# Spin magnetization in μB per cell: 0.00
# V in A^3/atom: 71.5
data_Cs2RbTlSb
_symmetry_space_group_name_H-M 'P 4/m m m'
_symmetry_Int_Tables_number 123
_symmetry_space_group_name_Hall '-P 4 2'
_cell_length_a 7.674
_cell_length_b 7.674
_cell_length_c 6.069
_cell_angle_alpha 90.00
_cell_angle_beta 90.00
_cell_angle_gamma 90.00
loop_
_atom_site_label
_atom_site_fract_x
_atom_site_fract_y
_atom_site_fract_z
Cs1 0.000 0.500 0.000
Rb1 0.000 0.000 0.500
Tl1 0.500 0.500 0.500
Sb1 0.500 0.500 0.000


# CeHo2Cd PBE optimized geometry
# Energy above the most stable polymorph in this dataset in eV/atom: 0.0719
# Calculated formation energy in meV/atom: -38
# Spin magnetization in μB per cell: 1.60
# V in A^3/atom: 28.1
data_CeHo2Cd
_symmetry_space_group_name_H-M 'P 4/m m m'
_symmetry_Int_Tables_number 123
_symmetry_space_group_name_Hall '-P 4 2'
_cell_length_a 4.875
_cell_length_b 4.875
_cell_length_c 4.738
_cell_angle_alpha 90.00
_cell_angle_beta 90.00
_cell_angle_gamma 90.00
loop_
_atom_site_label
_atom_site_fract_x
_atom_site_fract_y
_atom_site_fract_z
Ce1 0.000 0.000 0.000
Ho1 0.000 0.500 0.500
Cd1 0.500 0.500 0.000


# Tb5CdSe4 PBE optimized geometry
# ΔE_f (raw) in eV/atom: -1.463
# Spin magnetization in μB per cell: 0.00
# V in A^3/atom: 25.2
data_Tb5CdSe4
_symmetry_space_group_name_H-M 'I 4/m'
_symmetry_Int_Tables_number 87
_symmetry_space_group_name_Hall '-I 4'
_cell_length_a 9.273
_cell_length_b 9.273
_cell_length_c 5.870
_cell_angle_alpha 90.00
_cell_angle_beta 90.00
_cell_angle_gamma 90.00
loop_
_atom_site_label
_atom_site_fract_x
_atom_site_fract_y
_atom_site_fract_z
Tb1 0.000 0.000 0.000
Tb2 0.102 0.306 0.500
Cd1 0.000 0.000 0.500
Se1 0.101 0.302 0.000


# Pr2ScI PBE optimized geometry
# Energy above the most stable polymorph in this dataset in eV/atom: 0.0000
# ΔE_f (raw) in eV/atom: -0.323
# Spin magnetization in μB per cell: 0.00
# V in A^3/atom: 32.1
data_Pr2ScI
_symmetry_space_group_name_H-M 'P 4/m m m'
_symmetry_Int_Tables_number 123
_symmetry_space_group_name_Hall '-P 4 2'
_cell_length_a 3.705
_cell_length_b 3.705
_cell_length_c 9.369
_cell_angle_alpha 90.00
_cell_angle_beta 90.00
_cell_angle_gamma 90.00
loop_
_atom_site_label
_atom_site_fract_x
_atom_site_fract_y
_atom_site_fract_z
Pr1 0.000 0.000 0.247
Sc1 0.500 0.500 0.000
I1 0.500 0.500 0.500


# UTi2N PBE optimized geometry
# Energy above the most stable polymorph in this dataset in eV/atom: 0.3589
# ΔE_f (raw) in eV/atom: -0.291
# Spin magnetization in μB per cell: 0.00
# V in A^3/atom: 13.7
data_UTi2N
_symmetry_space_group_name_H-M 'P 4/m m m'
_symmetry_Int_Tables_number 123
_symmetry_space_group_name_Hall '-P 4 2'
_cell_length_a 2.745
_cell_length_b 2.745
_cell_length_c 7.269
_cell_angle_alpha 90.00
_cell_angle_beta 90.00
_cell_angle_gamma 90.00
loop_
_atom_site_label
_atom_site_fract_x
_atom_site_fract_y
_atom_site_fract_z
U1 0.000 0.000 0.000
Ti1 0.500 0.500 0.330
N1 0.000 0.000 0.500


# BeInCu2 PBE optimized geometry
# Energy above the most stable polymorph in this dataset in eV/atom: 0.0726
# Calculated formation energy in meV/atom: 135
# Spin magnetization in μB per cell: 0.00
# V in A^3/atom: 13.8
data_BeInCu2
_symmetry_space_group_name_H-M 'P 4 m m'
_symmetry_Int_Tables_number 99
_symmetry_space_group_name_Hall 'P 4 -2'
_cell_length_a 3.026
_cell_length_b 3.026
_cell_length_c 6.031
_cell_angle_alpha 90.00
_cell_angle_beta 90.00
_cell_angle_gamma 90.00
loop_
_atom_site_label
_atom_site_fract_x
_atom_site_fract_y
_atom_site_fract_z
Be1 0.000 0.000 0.000
In1 0.500 0.500 0.681
Cu1 0.000 0.000 0.382
Cu2 0.500 0.500 0.144


# BeAlPt2 PBE optimized geometry
# Calculated formation energy in meV/atom: -687
# Spin magnetization in μB per cell: 0.00
# V in A^3/atom: 13.6
data_BeAlPt2
_symmetry_space_group_name_H-M 'I -4 m 2'
_symmetry_Int_Tables_number 119
_symmetry_space_group_name_Hall 'I -4 -2'
_cell_length_a 3.581
_cell_length_b 3.581
_cell_length_c 8.495
_cell_angle_alpha 90.00
_cell_angle_beta 90.00
_cell_angle_gamma 90.00
loop_
_atom_site_label
_atom_site_fract_x
_atom_site_fract_y
_atom_site_fract_z
Be1 0.000 0.000 0.000
Al1 0.000 0.500 0.250
Pt1 0.000 0.000 0.500
Pt2 0.000 0.500 0.750


# SmAsAu2 PBE optimized geometry
# Calculated formation energy in meV/atom: -637
# Spin magnetization in μB per cell: 0.00
# V in A^3/atom: 21.4
data_SmAsAu2
_symmetry_space_group_name_H-M 'P 4/m m m'
_symmetry_Int_Tables_number 123
_symmetry_space_group_name_Hall '-P 4 2'
_cell_length_a 4.133
_cell_length_b 4.133
_cell_length_c 5.011
_cell_angle_alpha 90.00
_cell_angle_beta 90.00
_cell_angle_gamma 90.00
loop_
_atom_site_label
_atom_site_fract_x
_atom_site_fract_y
_atom_site_fract_z
Sm1 0.000 0.000 0.000
As1 0.500 0.500 0.000
Au1 0.000 0.500 0.500